No. 1
! CsAsOF2 PBEsol optimized geometry; values from VASP
! Calculated density ... 3.9 g cm⁻³
! Formation energy from raw total energies ... 0.0421 eV/atom
! Magnetization ... 1.775 Bohr magnetons per cell
! Calculated total energy ... -2.988 eV per atom
&SYSTEM
  ibrav = 0, nat = 5, ntyp = 4
/
ATOMIC_SPECIES
F 19.00 F.upf
O 16.00 O.upf
Cs 132.91 Cs.upf
As 74.92 As.upf
CELL_PARAMETERS angstrom
4.385 0.000 0.000
0.000 5.042 0.000
0.000 0.000 5.042
ATOMIC_POSITIONS crystal
F 0.000 0.000 0.500
F 0.000 0.500 0.000
O 0.500 0.000 0.000
Cs 0.000 0.000 0.000
As 0.500 0.500 0.500

No. 2
! Cs2RbAsF PBEsol optimized geometry; values from VASP
! Calculated density ... 3.6 g cm⁻³
! Formation energy from raw total energies ... -0.7956 eV/atom
! Magnetization ... 1.210 Bohr magnetons per cell
! Calculated total energy ... -2.784 eV per atom
&SYSTEM
  ibrav = 0, nat = 5, ntyp = 4
/
ATOMIC_SPECIES
Cs 132.91 Cs.upf
Rb 85.47 Rb.upf
F 19.00 F.upf
As 74.92 As.upf
CELL_PARAMETERS angstrom
-3.264 -0.651 4.315
-4.270 -0.633 -3.326
1.130 -6.757 -0.164
ATOMIC_POSITIONS crystal
Cs 0.500 0.000 0.000
Cs 0.000 0.500 0.000
Rb 0.500 0.500 0.500
F 0.000 0.000 0.000
As 0.000 0.000 0.500

No. 3
! Cs2RbAsF6 PBEsol optimized geometry; values from VASP
! Calculated density ... 4.4 g cm⁻³
! Formation energy from raw total energies ... -2.5486 eV/atom
! Magnetization ... 0.000 Bohr magnetons per cell
! Calculated total energy ... -4.507 eV per atom
&SYSTEM
  ibrav = 0, nat = 10, ntyp = 4
/
ATOMIC_SPECIES
As 74.92 As.upf
F 19.00 F.upf
Cs 132.91 Cs.upf
Rb 85.47 Rb.upf
CELL_PARAMETERS angstrom
6.629 0.000 0.000
3.315 5.741 0.000
3.315 1.914 5.413
ATOMIC_POSITIONS crystal
As 0.000 0.000 0.000
F 0.781 0.219 0.219
F 0.219 0.781 0.781
F 0.781 0.781 0.219
F 0.219 0.219 0.781
F 0.219 0.781 0.219
F 0.781 0.219 0.781
Cs 0.250 0.250 0.250
Cs 0.750 0.750 0.750
Rb 0.500 0.500 0.500

No. 4
! Cs2TlAsF6 PBEsol optimized geometry; values from VASP
! Calculated density ... 5.4 g cm⁻³
! Formation energy from raw total energies ... -2.3364 eV/atom
! Magnetization ... 0.000 Bohr magnetons per cell
! Calculated total energy ... -4.455 eV per atom
&SYSTEM
  ibrav = 0, nat = 10, ntyp = 4
/
ATOMIC_SPECIES
Cs 132.91 Cs.upf
F 19.00 F.upf
As 74.92 As.upf
Tl 204.38 Tl.upf
CELL_PARAMETERS angstrom
-2.891 -5.915 -0.592
-1.039 -3.723 5.363
-6.149 -0.914 2.249
ATOMIC_POSITIONS crystal
Cs 0.250 0.250 0.250
Cs 0.750 0.750 0.750
F 0.780 0.220 0.780
F 0.220 0.220 0.780
F 0.220 0.780 0.220
F 0.780 0.780 0.220
F 0.780 0.220 0.220
F 0.220 0.780 0.780
As 0.000 0.000 0.000
Tl 0.500 0.500 0.500

No. 5
! CsFe2As2 PBEsol optimized geometry; values from VASP
! Calculated density ... 6.3 g cm⁻³
! Magnetization ... 1.467 Bohr magnetons per cell
! Calculated total energy ... -6.118 eV per atom
! Energy of formation ... -0.3018 eV/atom
&SYSTEM
  ibrav = 0, nat = 5, ntyp = 3
/
ATOMIC_SPECIES
As 74.92 As.upf
Cs 132.91 Cs.upf
Fe 55.84 Fe.upf
CELL_PARAMETERS angstrom
3.701 0.000 0.000
0.000 3.701 0.000
-1.851 -1.851 7.578
ATOMIC_POSITIONS crystal
As 0.341 0.341 0.683
As 0.659 0.659 0.317
Cs 0.000 0.000 0.000
Fe 0.250 0.750 0.500
Fe 0.750 0.250 0.500

No. 6
! CsGa2As2 PBEsol optimized geometry; values from VASP
! Calculated density ... 5.2 g cm⁻³
! Magnetization ... 0.000 Bohr magnetons per cell
! Calculated total energy ... -3.952 eV per atom
! Energy of formation ... -0.3853 eV/atom
&SYSTEM
  ibrav = 0, nat = 5, ntyp = 3
/
ATOMIC_SPECIES
As 74.92 As.upf
Cs 132.91 Cs.upf
Ga 69.72 Ga.upf
CELL_PARAMETERS angstrom
-0.893 4.146 1.045
-2.087 -1.354 3.590
7.550 -1.014 1.349
ATOMIC_POSITIONS crystal
As 0.348 0.348 0.695
As 0.652 0.652 0.305
Cs 0.000 0.000 0.000
Ga 0.750 0.250 0.500
Ga 0.250 0.750 0.500